1.
Here is P2OsSeCl after structural relaxation from the Alexandria database. Energies are from PBE-GGA.

Output
- formation energy (no corrections) (meV/atom) = 1791

The structure in POSCAR format:
```
P2OsSeCl
1.0
4.824 0.000 0.000
0.000 4.824 0.000
0.000 0.000 4.548
P Os Se Cl
2 1 1 1
direct
0.000 0.500 0.000
0.500 0.000 0.000
0.000 0.000 0.500
0.500 0.500 0.000
0.500 0.500 0.500
```

2.
Here is CsSnB3 after structural relaxation from the Alexandria database. Energies are from PBE-GGA.

Output
- formation energy (eV/atom) = 3.094

The structure in POSCAR format:
```
CsSnB3
1.0
4.922 0.000 0.000
0.000 4.922 0.000
0.000 0.000 4.922
Cs Sn B
1 1 3
direct
0.000 0.000 0.000
0.500 0.500 0.500
0.000 0.000 0.500
0.000 0.500 0.000
0.500 0.000 0.000
```

3.
Here is La3LuH after structural relaxation from the Alexandria database. Energies are from PBE-GGA.

Output
- VASP energy (eV/atom) = -4.69

The structure in POSCAR format:
```
La3LuH
1.0
5.209 0.000 0.000
0.000 5.209 0.000
0.000 0.000 5.209
La Lu H
3 1 1
direct
0.000 0.000 0.500
0.000 0.500 0.000
0.500 0.000 0.000
0.500 0.500 0.500
0.000 0.000 0.000
```

4.
Here is SmMg2Cd after structural relaxation from the Alexandria database. Energies are from PBE-GGA.

Output
- formation energy (eV/atom) = -0.163

The structure in POSCAR format:
```
SmMg2Cd
1.0
0.000 3.625 3.625
3.625 0.000 3.625
3.625 3.625 0.000
Sm Mg Cd
1 2 1
direct
0.000 0.000 0.000
0.250 0.250 0.250
0.750 0.750 0.750
0.500 0.500 0.500
```

5.
Here is PSe4I3 after structural relaxation from the Alexandria database. Energies are from PBE-GGA.

Output
- formation energy (no corrections) (meV/atom) = 228

The structure in POSCAR format:
```
PSe4I3
1.0
-5.111 5.118 3.619
5.111 -5.118 3.619
5.111 5.118 -3.619
P Se I
1 4 3
direct
0.000 0.000 0.000
0.361 0.144 0.217
0.826 0.652 0.827
0.826 0.999 0.173
0.928 0.144 0.783
0.309 0.493 0.816
0.579 0.079 0.500
0.676 0.493 0.184
```

6.
Here is SrSbPbCl2 after structural relaxation from the Alexandria database. Energies are from PBE-GGA.

Output
- formation energy (no corrections) (meV/atom) = -710

The structure in POSCAR format:
```
SrSbPbCl2
1.0
5.279 0.000 0.000
0.000 5.279 0.000
0.000 0.000 11.094
Sr Sb Pb Cl
1 1 1 2
direct
0.000 0.000 0.000
0.500 0.500 0.500
0.000 0.000 0.500
0.000 0.500 0.000
0.500 0.000 0.000
```